Entry from Alexandria: a geometry-optimized Be3FePt structure (PBE).

Lattice parameters (Å, degrees): 4.1844 4.1844 4.1844 90.00 90.00 90.00
Sites, in units of the cell vectors:
Be: 0.0000 0.0000 0.5000
Be: 0.0000 0.5000 0.0000
Be: 0.5000 0.0000 0.0000
Fe: 0.5000 0.5000 0.5000
Pt: 0.0000 0.0000 0.0000

Values from the calculation:
**Offset from the most stable computed form**: 0 meV/atom
**Energy of formation from the pure elements**: 0.51 eV/atom
**DFT total energy**: -4.6244 eV per atom


Entry from Alexandria: a geometry-optimized Be2FePt2 structure (PBE).

Lattice parameters (Å, degrees): 6.6458 6.6458 2.7113 90.00 90.00 90.00
Sites, in units of the cell vectors:
Be: 0.1256 0.3744 0.0000
Be: 0.3744 0.8744 0.0000
Be: 0.6256 0.1256 0.0000
Be: 0.8744 0.6256 0.0000
Fe: 0.0000 0.0000 0.0000
Fe: 0.5000 0.5000 0.0000
Pt: 0.1697 0.6697 0.5000
Pt: 0.3303 0.1697 0.5000
Pt: 0.6697 0.8303 0.5000
Pt: 0.8303 0.3303 0.5000

Values from the calculation:
**Offset from the most stable computed form**: 0 meV/atom
**Energy of formation from the pure elements**: -0.50 eV/atom
**DFT total energy**: -6.0947 eV per atom